Record 1
{
  "formula": "Al2InMo",
  "functional": "PBE",
  "state": "relaxed",
  "delta_e_f_mev_per_atom": 16,
  "volume_a3_per_cell": 68.2,
  "energy_ev_per_atom": -5.248,
  "cell": [[-3.004, 1.919, 3.655], [-1.361, -3.499, 3.459], [4.470, 1.428, -2.013]],
  "species": ["Al", "Al", "In", "Mo"],
  "fractional_positions": [[0.500, 0.500, 0.000], [0.000, 0.000, 0.000], [0.250, 0.750, 0.500], [0.750, 0.250, 0.500]]
}

=====

Record 2
{
  "formula": "PmURu4",
  "functional": "PBE",
  "state": "relaxed",
  "de_polymorph_mev_per_atom": 80.6,
  "delta_e_f_mev_per_atom": -22,
  "volume_a3_per_cell": 223.6,
  "energy_ev_per_atom": -8.879,
  "cell": [[5.681, 0.000, -0.855], [0.000, 5.796, 0.000], [-2.705, -2.898, 7.199]],
  "species": ["Pm", "Pm", "Ru", "Ru", "Ru", "Ru", "Ru", "Ru", "Ru", "Ru", "U", "U"],
  "fractional_positions": [[0.108, 0.192, 0.383], [0.892, 0.808, 0.617], [0.526, 0.333, 0.229], [0.526, 0.896, 0.229], [0.474, 0.104, 0.771], [0.474, 0.667, 0.771], [0.717, 0.303, 0.605], [0.000, 0.245, 0.000], [0.000, 0.755, 0.000], [0.283, 0.697, 0.395], [0.790, 0.582, 0.164], [0.210, 0.418, 0.836]]
}

=====

Record 3
{
  "formula": "CeHo2ThSc4",
  "functional": "PBE",
  "state": "relaxed",
  "delta_e_f_mev_per_atom": 73,
  "volume_a3_per_cell": 222.5,
  "energy_ev_per_atom": -5.907,
  "cell": [[-3.703, 3.598, -1.682], [-3.643, -3.996, -0.529], [-5.850, -2.934, 6.601]],
  "species": ["Sc", "Sc", "Sc", "Sc", "Ce", "Th", "Ho", "Ho"],
  "fractional_positions": [[0.500, 0.747, 0.253], [0.000, 0.247, 0.253], [0.500, 0.253, 0.747], [0.000, 0.753, 0.747], [0.000, 0.500, 0.500], [0.500, 0.500, 0.000], [0.000, 0.000, 0.000], [0.500, 0.000, 0.500]]
}

=====

Record 4
{
  "formula": "In2FeMo",
  "functional": "PBE",
  "state": "relaxed",
  "de_polymorph_mev_per_atom": 109.0,
  "delta_e_f_mev_per_atom": 349,
  "volume_a3_per_cell": 72.6,
  "energy_ev_per_atom": -5.844,
  "cell": [[-3.671, 2.720, -3.105], [-4.974, 2.372, -0.381], [0.297, 4.776, 0.753]],
  "species": ["In", "In", "Mo", "Fe"],
  "fractional_positions": [[0.983, 0.983, 0.051], [0.766, 0.766, 0.700], [0.529, 0.529, 0.517], [0.222, 0.222, 0.232]]
}

=====

Record 5
{
  "formula": "PuPaTi2",
  "functional": "PBE",
  "state": "relaxed",
  "de_polymorph_mev_per_atom": 114.8,
  "delta_e_f_mev_per_atom": 227,
  "volume_a3_per_cell": 84.2,
  "energy_ev_per_atom": -9.678,
  "cell": [[4.920, 0.000, 0.000], [2.460, 4.261, 0.000], [2.460, 1.420, 4.017]],
  "species": ["Pa", "Ti", "Ti", "Pu"],
  "fractional_positions": [[0.000, 0.000, 0.000], [0.750, 0.750, 0.750], [0.250, 0.250, 0.250], [0.500, 0.500, 0.500]]
}

=====

Record 6
{
  "formula": "Sm4HgPt",
  "functional": "PBE",
  "state": "relaxed",
  "de_polymorph_mev_per_atom": 0.0,
  "delta_e_f_mev_per_atom": -615,
  "volume_a3_per_cell": 677.4,
  "energy_ev_per_atom": -4.818,
  "cell": [[-3.957, -7.036, 5.658], [-6.201, -6.578, -3.930], [2.819, -9.381, -1.108]],
  "species": ["Sm", "Sm", "Sm", "Sm", "Sm", "Sm", "Sm", "Sm", "Sm", "Sm", "Sm", "Sm", "Sm", "Sm", "Sm", "Sm", "Pt", "Pt", "Pt", "Pt", "Hg", "Hg", "Hg", "Hg"],
  "fractional_positions": [[0.813, 0.187, 0.813], [0.813, 0.187, 0.187], [0.941, 0.941, 0.559], [0.397, 0.397, 0.397], [0.397, 0.810, 0.397], [0.941, 0.559, 0.941], [0.187, 0.813, 0.813], [0.397, 0.397, 0.810], [0.559, 0.941, 0.941], [0.559, 0.941, 0.559], [0.941, 0.559, 0.559], [0.559, 0.559, 0.941], [0.187, 0.813, 0.187], [0.187, 0.187, 0.813], [0.813, 0.813, 0.187], [0.810, 0.397, 0.397], [0.181, 0.606, 0.606], [0.606, 0.606, 0.606], [0.606, 0.606, 0.181], [0.606, 0.181, 0.606], [0.164, 0.164, 0.164], [0.507, 0.164, 0.164], [0.164, 0.164, 0.507], [0.164, 0.507, 0.164]]
}

=====

Record 7
{
  "formula": "Cd2SbAs",
  "functional": "PBE",
  "state": "relaxed",
  "formation_energy_uncorrected_ev_per_atom": 0.25,
  "de_polymorph_mev_per_atom": 215.5,
  "volume_a3_per_cell": 95.5,
  "energy_ev_per_atom": -2.401,
  "cell": [[5.131, 0.000, 0.000], [2.566, 4.444, 0.000], [2.566, 1.481, 4.190]],
  "species": ["Cd", "Cd", "Sb", "As"],
  "fractional_positions": [[0.750, 0.750, 0.750], [0.000, 0.000, 0.000], [0.250, 0.250, 0.250], [0.500, 0.500, 0.500]]
}

=====

Record 8
{
  "formula": "ZrV2Cu2",
  "functional": "PBE",
  "state": "relaxed",
  "de_polymorph_mev_per_atom": 0.0,
  "delta_e_f_mev_per_atom": 168,
  "volume_a3_per_cell": 76.5,
  "energy_ev_per_atom": -6.827,
  "cell": [[-3.330, 0.449, -1.193], [0.457, -2.696, -2.288], [-3.445, -4.987, 2.410]],
  "species": ["Cu", "Cu", "Zr", "V", "V"],
  "fractional_positions": [[0.599, 0.599, 0.803], [0.401, 0.401, 0.197], [0.000, 0.000, 0.000], [0.750, 0.250, 0.500], [0.250, 0.750, 0.500]]
}

=====

Record 9
{
  "formula": "RbDyCl4",
  "functional": "PBE",
  "state": "relaxed",
  "formation_energy_uncorrected_ev_per_atom": -2.20,
  "de_polymorph_mev_per_atom": 0.0,
  "volume_a3_per_cell": 414.5,
  "energy_ev_per_atom": -4.361,
  "cell": [[5.343, 0.000, 0.000], [0.000, 7.603, 0.000], [-2.672, 0.000, 10.203]],
  "species": ["Dy", "Dy", "Cl", "Cl", "Cl", "Cl", "Cl", "Cl", "Cl", "Cl", "Rb", "Rb"],
  "fractional_positions": [[0.587, 0.772, 0.175], [0.413, 0.272, 0.825], [0.306, 0.084, 0.613], [0.345, 0.554, 0.689], [0.694, 0.584, 0.387], [0.655, 0.054, 0.311], [0.473, 0.948, 0.947], [0.080, 0.752, 0.160], [0.527, 0.448, 0.053], [0.920, 0.252, 0.840], [0.169, 0.324, 0.338], [0.831, 0.824, 0.662]]
}

=====

Record 10
{
  "formula": "MnBr2Cl8",
  "functional": "PBE",
  "state": "relaxed",
  "formation_energy_uncorrected_ev_per_atom": -0.29,
  "volume_a3_per_cell": 410.4,
  "energy_ev_per_atom": -2.772,
  "cell": [[-6.185, -2.139, 3.157], [-0.921, -7.192, 0.951], [9.716, 2.493, 4.756]],
  "species": ["Br", "Br", "Cl", "Cl", "Cl", "Cl", "Cl", "Cl", "Cl", "Cl", "Mn"],
  "fractional_positions": [[0.116, 0.579, 0.354], [0.884, 0.421, 0.646], [0.406, 0.267, 0.450], [0.804, 0.955, 0.263], [0.617, 0.668, 0.960], [0.022, 0.009, 0.921], [0.383, 0.332, 0.040], [0.594, 0.733, 0.550], [0.196, 0.045, 0.737], [0.978, 0.991, 0.079], [0.500, 0.000, 0.000]]
}

=====

Record 11
{
  "formula": "Zn4Sb",
  "functional": "PBE",
  "state": "relaxed",
  "formation_energy_uncorrected_ev_per_atom": 0.44,
  "de_polymorph_mev_per_atom": 0.0,
  "volume_a3_per_cell": 124.7,
  "energy_ev_per_atom": -1.408,
  "cell": [[-3.147, 3.147, 3.147], [3.147, -3.147, 3.147], [3.147, 3.147, -3.147]],
  "species": ["Zn", "Zn", "Zn", "Zn", "Sb"],
  "fractional_positions": [[0.500, 0.000, 0.000], [0.000, 0.500, 0.000], [0.500, 0.500, 0.500], [0.000, 0.000, 0.500], [0.000, 0.000, 0.000]]
}

=====

Record 12
{
  "formula": "Mn2Zn",
  "functional": "PBE",
  "state": "relaxed",
  "delta_e_f_mev_per_atom": 632,
  "volume_a3_per_cell": 51.2,
  "energy_ev_per_atom": -5.906,
  "cell": [[-2.300, 2.220, 2.859], [2.709, -1.191, 3.104], [1.557, 2.252, -0.496]],
  "species": ["Zn", "Mn", "Mn"],
  "fractional_positions": [[0.000, 0.000, 0.000], [0.500, 0.000, 0.500], [0.000, 0.500, 0.500]]
}